BeCr3Te | GGA-PBE | relaxed

Structure (extended XYZ):
```
5
Lattice="5.056 0.000 0.000 0.000 5.056 0.000 0.000 0.000 5.056" Properties=species:S:1:pos:R:3 pbc="T T T"
Be 0.000 0.000 0.000
Cr 0.000 2.528 2.528
Cr 2.528 0.000 2.528
Cr 2.528 2.528 0.000
Te 2.528 2.528 2.528
```

Properties
Space-group type: Pm-3m (221)
Formation energy (no corrections), eV per atom: 1.592

=====

LiHgPSe4 | GGA-PBE | relaxed

Structure (extended XYZ):
```
14
Lattice="6.499 0.000 0.000 0.000 7.514 0.000 -0.517 0.000 7.691" Properties=species:S:1:pos:R:3 pbc="T T T"
Li 0.674 1.878 0.189
Li 5.307 5.635 7.502
Hg 1.098 1.878 3.403
Hg 4.883 5.635 4.288
P 1.507 5.635 5.750
P 4.474 1.878 1.942
Se 0.001 3.901 5.759
Se 0.001 7.369 5.759
Se 2.392 5.635 3.673
Se 2.729 5.635 7.504
Se 3.252 1.878 0.188
Se 3.589 1.878 4.019
Se 5.980 0.144 1.932
Se 5.980 3.612 1.932
```

Properties
Space-group type: P2_1/m (11)
Formation energy (no corrections), eV per atom: -0.263

=====

LaMo2Rh2 | GGA-PBE | relaxed

Structure (extended XYZ):
```
10
Lattice="7.967 0.000 0.000 0.000 7.967 0.000 0.000 0.000 2.833" Properties=species:S:1:pos:R:3 pbc="T T T"
La 0.000 0.000 0.000
La 3.984 3.984 0.000
Mo 0.907 3.076 0.000
Mo 3.076 7.060 0.000
Mo 4.891 0.907 0.000
Mo 7.060 4.891 0.000
Rh 1.377 5.360 1.417
Rh 2.607 1.377 1.417
Rh 5.360 6.591 1.417
Rh 6.591 2.607 1.417
```

Properties
Space-group type: P4/mbm (127)
DFT formation energy, meV/atom: -10

=====

Number 1: DFT total energy -27.78 eV per formula unit. Number 2: DFT total energy -23.40 eV per formula unit. Number 3: DFT total energy -41.34 eV per formula unit.